! Na2AlNiP2 PBE-GGA optimized geometry; values from VASP
&SYSTEM
  ibrav = 0, nat = 12, ntyp = 4
/
ATOMIC_SPECIES
Al 26.98 Al.upf
Na 22.99 Na.upf
P 30.97 P.upf
Ni 58.69 Ni.upf
CELL_PARAMETERS angstrom
5.338 0.000 0.000
0.000 5.626 0.000
-2.669 -2.813 7.029
ATOMIC_POSITIONS crystal
Al 0.000 0.250 0.000
Na 0.074 0.320 0.640
Na 0.434 0.180 0.360
P 0.841 0.100 0.200
P 0.159 0.900 0.800
Ni 0.500 0.750 0.000
P 0.641 0.400 0.800
Na 0.926 0.680 0.360
P 0.359 0.600 0.200
Al 0.000 0.750 0.000
Ni 0.500 0.250 0.000
Na 0.566 0.820 0.640
! **Total moment**: 0.00 μB per cell
! **Fermi-level density of states**: 7.348 states/eV per cell
! **E_form**: -0.46 eV/atom